Here is BeZnGa2Fe after structural relaxation from Alexandria. Energies are from PBE.

Computed properties:
* volume: 76.0 Å³/cell
* ΔE_f: 214.0 kJ/mol of formula units
* crystal system: tetragonal

abc: 4.254 4.254 4.199
angles: 90.00 90.00 90.00
Space group P4/mmm (No. 123)
One atom of each set of equivalent atoms:
Be 0.000 0.000 0.000
Zn 0.500 0.500 0.500
Ga 0.000 0.500 0.000
Fe 0.000 0.000 0.500

---

Here is BeFe3Ge after structural relaxation from Alexandria. Energies are from PBE.

Computed properties:
* volume: 61.3 Å³/cell
* ΔE_f: 211.5 kJ/mol of formula units
* ΔE to the lowest computed polymorph: 0.0 meV/atom
* crystal system: cubic

abc: 3.943 3.943 3.943
angles: 90.00 90.00 90.00
Space group Pm-3m (No. 221)
One atom of each set of equivalent atoms:
Be 0.000 0.000 0.000
Fe 0.000 0.000 0.500
Ge 0.500 0.500 0.500

---

Here is Be2Fe2Ge after structural relaxation from Alexandria. Energies are from PBE.

Computed properties:
* volume: 96.7 Å³/cell
* ΔE_f: -39.1 kJ/mol of formula units
* ΔE to the lowest computed polymorph: 0.0 meV/atom
* crystal system: tetragonal

abc: 5.878 5.878 2.800
angles: 90.00 90.00 90.00
Space group P4/mbm (No. 127)
One atom of each set of equivalent atoms:
Be 0.121 0.379 0.000
Fe 0.172 0.672 0.500
Ge 0.000 0.000 0.000

---

Here is BeFe2Ge2 after structural relaxation from Alexandria. Energies are from PBE.

Computed properties:
* volume: 136.7 Å³/cell
* ΔE_f: 219.4 kJ/mol of formula units
* ΔE to the lowest computed polymorph: 403.3 meV/atom
* crystal system: tetragonal

abc: 3.480 3.480 11.292
angles: 90.00 90.00 90.00
Space group I4/mmm (No. 139)
One atom of each set of equivalent atoms:
Be 0.000 0.000 0.000
Fe 0.000 0.000 0.400
Ge 0.000 0.500 0.250

---

Here is Be2FeGe after structural relaxation from Alexandria. Energies are from PBE.

Computed properties:
* volume: 41.3 Å³/cell
* ΔE_f: -0.4 kJ/mol of formula units
* crystal system: tetragonal

abc: 3.498 3.498 3.374
angles: 90.00 90.00 90.00
Space group P4/mmm (No. 123)
One atom of each set of equivalent atoms:
Be 0.000 0.500 0.000
Fe 0.000 0.000 0.500
Ge 0.500 0.500 0.500

---

Here is BeFe2Ge after structural relaxation from Alexandria. Energies are from PBE.

Computed properties:
* volume: 42.3 Å³/cell
* ΔE_f: -24.6 kJ/mol of formula units
* crystal system: tetragonal

abc: 3.865 3.865 2.834
angles: 90.00 90.00 90.00
Space group P4/mmm (No. 123)
One atom of each set of equivalent atoms:
Be 0.000 0.000 0.000
Fe 0.000 0.500 0.500
Ge 0.500 0.500 0.000

---

Here is Be2FeGe after structural relaxation from Alexandria. Energies are from PBE.

Computed properties:
* volume: 190.8 Å³/cell
* ΔE_f: 179.6 kJ/mol of formula units
* crystal system: tetragonal

abc: 6.398 6.398 4.661
angles: 90.00 90.00 90.00
Space group I-42d (No. 122)
One atom of each set of equivalent atoms:
Be 0.241 0.250 0.125
Fe 0.000 0.000 0.000
Ge 0.000 0.000 0.500

---

Here is Be2Fe2Ge after structural relaxation from Alexandria. Energies are from PBE.

Computed properties:
* volume: 105.1 Å³/cell
* ΔE_f: 6.7 kJ/mol of formula units
* ΔE to the lowest computed polymorph: 95.0 meV/atom
* crystal system: tetragonal

abc: 5.970 5.970 2.949
angles: 90.00 90.00 90.00
Space group P4/mbm (No. 127)
One atom of each set of equivalent atoms:
Be 0.136 0.364 0.000
Fe 0.153 0.653 0.500
Ge 0.000 0.000 0.500

---

Here is BeFe2Ge2 after structural relaxation from Alexandria. Energies are from PBE.

Computed properties:
* volume: 123.1 Å³/cell
* ΔE_f: 81.5 kJ/mol of formula units
* ΔE to the lowest computed polymorph: 117.5 meV/atom
* crystal system: tetragonal

abc: 6.672 6.672 2.765
angles: 90.00 90.00 90.00
Space group P4/mbm (No. 127)
One atom of each set of equivalent atoms:
Be 0.000 0.000 0.000
Fe 0.150 0.350 0.500
Ge 0.149 0.649 0.000

---

Here is BeFe2Ge2 after structural relaxation from Alexandria. Energies are from PBE.

Computed properties:
* volume: 120.6 Å³/cell
* ΔE_f: 24.8 kJ/mol of formula units
* ΔE to the lowest computed polymorph: 0.0 meV/atom
* crystal system: tetragonal

abc: 5.814 5.814 3.569
angles: 90.00 90.00 90.00
Space group P4/mbm (No. 127)
One atom of each set of equivalent atoms:
Be 0.000 0.000 0.000
Fe 0.151 0.349 0.000
Ge 0.161 0.661 0.500

---

Here is BeFe3Ge after structural relaxation from Alexandria. Energies are from PBE.

Computed properties:
* volume: 81.1 Å³/cell
* ΔE_f: 556.2 kJ/mol of formula units
* ΔE to the lowest computed polymorph: 714.3 meV/atom
* crystal system: cubic

abc: 4.328 4.328 4.328
angles: 90.00 90.00 90.00
Space group Pm-3m (No. 221)
One atom of each set of equivalent atoms:
Be 0.000 0.000 0.000
Fe 0.000 0.500 0.500
Ge 0.500 0.500 0.500

---

Here is Hf2Be2Fe5Ge after structural relaxation from Alexandria. Energies are from PBE.

Computed properties:
* volume: 246.1 Å³/cell
* ΔE_f: -263.1 kJ/mol of formula units
* crystal system: tetragonal

abc: 8.694 8.694 3.255
angles: 90.00 90.00 90.00
Space group P4/mbm (No. 127)
One atom of each set of equivalent atoms:
Hf 0.177 0.323 0.000
Be 0.118 0.618 0.000
Fe 0.000 0.500 0.500
Fe 0.065 0.786 0.500
Ge 0.000 0.000 0.000

---

Here is K2BeFeGe after structural relaxation from Alexandria. Energies are from PBE.

Computed properties:
* volume: 194.6 Å³/cell
* ΔE_f: 464.2 kJ/mol of formula units
* crystal system: tetragonal

abc: 6.475 6.475 4.641
angles: 90.00 90.00 90.00
Space group P4/mmm (No. 123)
One atom of each set of equivalent atoms:
K 0.000 0.500 0.000
Be 0.000 0.000 0.500
Fe 0.500 0.500 0.500
Ge 0.500 0.500 0.000

---

Here is Be2Nb2Fe5Ge after structural relaxation from Alexandria. Energies are from PBE.

Computed properties:
* volume: 231.3 Å³/cell
* ΔE_f: -167.7 kJ/mol of formula units
* crystal system: tetragonal

abc: 8.732 8.732 3.033
angles: 90.00 90.00 90.00
Space group P4/mbm (No. 127)
One atom of each set of equivalent atoms:
Be 0.121 0.379 0.000
Nb 0.175 0.675 0.000
Fe 0.000 0.500 0.500
Fe 0.066 0.210 0.500
Ge 0.000 0.000 0.000

---

Here is BeFeNiGe after structural relaxation from Alexandria. Energies are from PBE.

Computed properties:
* volume: 169.4 Å³/cell
* ΔE_f: -81.5 kJ/mol of formula units
* crystal system: cubic

abc: 5.533 5.533 5.533
angles: 90.00 90.00 90.00
Space group F-43m (No. 216)
One atom of each set of equivalent atoms:
Be 0.000 0.000 0.000
Fe 0.250 0.250 0.750
Ni 0.250 0.250 0.250
Ge 0.000 0.000 0.500